1.
4
Lattice="0.0000 3.4568 3.4568 3.4568 0.0000 3.4568 3.4568 3.4568 0.0000" Properties=species:S:1:pos:R:3 comment="PBE ErHfAl2, relaxed" e_tot_ev_per_atom=-5.7533 formation_energy_ev_per_atom=-0.2530 dos_ef_per_ev_cell=3.187 pbc="T T T"
Er 0.0000 0.0000 0.0000
Hf 3.4568 3.4568 3.4568
Al 1.7284 1.7284 1.7284
Al 5.1853 5.1853 5.1853


2.
9
Lattice="3.6749 2.1217 6.4374 -3.6749 2.1217 6.4374 0.0000 -4.2434 6.4374" Properties=species:S:1:pos:R:3 comment="PBE Dy6Er2Th, relaxed" e_tot_ev_per_atom=-4.5004 formation_energy_ev_per_atom=0.4061 dos_ef_per_ev_cell=10.142 pbc="T T T"
Dy -1.7719 -1.0230 6.4374
Dy 0.0000 -2.4276 8.9845
Dy -2.1023 1.2138 8.9845
Dy 1.7719 -1.0230 6.4373
Dy 0.0000 2.0460 6.4373
Dy 2.1023 1.2138 8.9845
Er 0.0000 0.0000 15.6452
Er 0.0000 0.0000 19.0145
Th 0.0000 0.0000 10.5865


3.
12
Lattice="9.1963 -2.1100 0.0000 9.1963 2.1100 0.0000 -1.8919 0.0000 8.2487" Properties=species:S:1:pos:R:3 comment="PBE Pr6SbP2S3, relaxed" formation_energy_uncorrected_ev_per_atom=-1.72 e_tot_ev_per_atom=-6.3918 dos_ef_per_ev_cell=4.273 pbc="T T T"
Pr -0.4452 0.0000 2.2112
Pr 4.2972 0.0000 7.4559
Pr 5.2844 0.0000 3.4724
Pr 11.2163 0.0000 4.7763
Pr 12.2035 0.0000 0.7929
Pr 16.9459 0.0000 6.0375
Sb 9.1963 0.0000 0.0000
P 2.4509 0.0000 2.7636
P 14.0498 0.0000 5.4851
S 1.4506 0.0000 6.8686
S 8.2504 0.0000 4.1244
S 15.0501 0.0000 1.3801


4.
18
Lattice="5.3392 -5.4117 0.0000 5.3392 5.4117 0.0000 -1.6077 0.0000 7.5176" Properties=species:S:1:pos:R:3 comment="PBE Dy3Sn4Ru2, relaxed" e_tot_ev_per_atom=-5.8142 formation_energy_ev_per_atom=-0.4398 dos_ef_per_ev_cell=10.525 pbc="T T T"
Dy 4.1335 3.9347 5.6382
Dy 3.2312 1.6970 2.6151
Dy 6.6435 1.6970 1.1437
Dy 2.4273 -1.6970 6.3739
Dy 5.8396 -1.6970 4.9024
Dy 4.9373 -3.9347 1.8794
Sn 0.8391 0.6485 4.5472
Sn 2.3102 1.5514 6.9122
Sn 1.6430 -0.6485 0.7884
Sn 3.1141 -1.5514 3.1534
Sn 5.9567 1.5514 4.3642
Sn 7.4278 0.6485 6.7291
Sn 6.7606 -1.5514 0.6054
Sn 8.2317 -0.6485 2.9704
Ru 4.2793 3.8553 0.6866
Ru 5.5953 3.8553 3.0722
Ru 3.4755 -3.8553 4.4454
Ru 4.7915 -3.8553 6.8310


5.
12
Lattice="3.9938 0.0000 0.0000 0.0000 5.0098 0.0000 0.0000 0.0000 8.6763" Properties=species:S:1:pos:R:3 comment="PBE BaPaNi10, relaxed" e_tot_ev_per_atom=-5.9313 formation_energy_ev_per_atom=-0.1619 dos_ef_per_ev_cell=13.471 pbc="T T T"
Ba 0.0000 0.0000 0.0000
Pa 0.0000 2.5049 4.3382
Ni 0.0000 0.0000 3.0156
Ni 0.0000 0.0000 5.6607
Ni 0.0000 2.5049 1.6891
Ni 0.0000 2.5049 6.9872
Ni 1.9969 0.0000 4.3382
Ni 1.9969 1.2996 2.3250
Ni 1.9969 1.2996 6.3513
Ni 1.9969 2.5049 0.0000
Ni 1.9969 3.7101 2.3250
Ni 1.9969 3.7101 6.3513


6.
4
Lattice="1.9263 1.1122 6.6869 -1.9263 1.1122 6.6869 0.0000 -2.2243 6.6869" Properties=species:S:1:pos:R:3 comment="PBE IrSe2F, relaxed" formation_energy_uncorrected_ev_per_atom=-0.53 e_tot_ev_per_atom=-4.9582 dos_ef_per_ev_cell=2.087 pbc="T T T"
Ir 0.0000 0.0000 0.0000
Se 0.0000 0.0000 7.8497
Se 0.0000 0.0000 12.2109
F 0.0000 0.0000 10.0303


7.
4
Lattice="1.9983 1.1537 9.9412 -1.9983 1.1537 9.9412 0.0000 -2.3074 9.9412" Properties=species:S:1:pos:R:3 comment="PBE CsNiTe2, relaxed" formation_energy_uncorrected_ev_per_atom=-0.15 e_tot_ev_per_atom=-3.3782 dos_ef_per_ev_cell=6.325 pbc="T T T"
Cs 0.0000 0.0000 0.0000
Ni 0.0000 0.0000 14.9119
Te 0.0000 0.0000 3.6692
Te 0.0000 0.0000 26.1546


8.
6
Lattice="0.0000 3.9535 3.9535 3.9535 0.0000 3.9535 3.9535 3.9535 0.0000" Properties=species:S:1:pos:R:3 comment="PBE TbPuGe4, relaxed" e_tot_ev_per_atom=-6.5615 formation_energy_ev_per_atom=-0.3229 dos_ef_per_ev_cell=4.483 pbc="T T T"
Tb 0.0000 0.0000 0.0000
Pu 1.9767 1.9767 1.9767
Ge 4.9396 2.9674 2.9674
Ge 2.9674 4.9396 2.9674
Ge 2.9674 2.9674 4.9396
Ge 4.9396 4.9396 4.9396


9.
5
Lattice="4.6279 0.0000 0.0000 0.0000 4.6279 0.0000 0.0000 0.0000 4.6279" Properties=species:S:1:pos:R:3 comment="PBE NaNi3Ir, relaxed" e_tot_ev_per_atom=-4.6104 formation_energy_ev_per_atom=0.8944 dos_ef_per_ev_cell=7.125 pbc="T T T"
Na 0.0000 0.0000 0.0000
Ni 0.0000 2.3140 2.3140
Ni 2.3140 0.0000 2.3140
Ni 2.3140 2.3140 0.0000
Ir 2.3140 2.3140 2.3140


10.
4
Lattice="2.2100 1.2760 7.1964 -2.2100 1.2760 7.1964 0.0000 -2.5519 7.1964" Properties=species:S:1:pos:R:3 comment="PBE Pr2AgGe, relaxed" e_tot_ev_per_atom=-4.6649 formation_energy_ev_per_atom=-0.4080 dos_ef_per_ev_cell=4.243 pbc="T T T"
Pr 0.0000 0.0000 5.2083
Pr 0.0000 0.0000 16.3810
Ag 0.0000 0.0000 0.0000
Ge 0.0000 0.0000 10.7947


11.
10
Lattice="0.0000 4.2935 4.2935 4.2935 0.0000 4.2935 4.2935 4.2935 0.0000" Properties=species:S:1:pos:R:3 comment="PBE Er2FeCo6Si, relaxed" formation_energy_uncorrected_ev_per_atom=0.20 e_tot_ev_per_atom=-6.3606 dos_ef_per_ev_cell=7.325 pbc="T T T"
Er 2.1468 2.1468 2.1468
Er 6.4403 6.4403 6.4403
Fe 0.0000 0.0000 0.0000
Co 4.2935 4.2935 2.1622
Co 4.2935 2.1622 4.2935
Co 6.4249 4.2935 4.2935
Co 2.1622 4.2935 4.2935
Co 4.2935 6.4249 4.2935
Co 4.2935 4.2935 6.4249
Si 4.2935 4.2935 4.2935


12.
24
Lattice="8.0466 0.0000 0.0000 0.0000 8.0466 0.0000 0.0000 0.0000 4.7254" Properties=species:S:1:pos:R:3 comment="PBE HoZn2Ni9, relaxed" e_tot_ev_per_atom=-5.1580 formation_energy_ev_per_atom=-0.2282 dos_ef_per_ev_cell=35.273 pbc="T T T"
Ho 0.0000 0.0000 0.0000
Ho 4.0233 4.0233 0.0000
Zn 0.9501 3.0732 0.0000
Zn 3.0732 7.0965 0.0000
Zn 4.9734 0.9501 0.0000
Zn 7.0965 4.9734 0.0000
Ni 0.0000 4.0233 2.3627
Ni 0.5108 1.6814 2.3627
Ni 1.4387 5.4620 1.1437
Ni 1.4387 5.4620 3.5817
Ni 1.6814 7.5358 2.3627
Ni 2.3419 3.5125 2.3627
Ni 2.5846 1.4387 1.1437
Ni 2.5846 1.4387 3.5817
Ni 3.5125 5.7047 2.3627
Ni 4.0233 0.0000 2.3627
Ni 4.5341 2.3419 2.3627
Ni 5.4620 6.6079 1.1437
Ni 5.4620 6.6079 3.5817
Ni 5.7047 4.5341 2.3627
Ni 6.3653 0.5108 2.3627
Ni 6.6079 2.5846 1.1437
Ni 6.6079 2.5846 3.5817
Ni 7.5358 6.3653 2.3627


13.
5
Lattice="5.5181 0.0000 0.0000 0.0000 5.5181 0.0000 0.0000 0.0000 4.8303" Properties=species:S:1:pos:R:3 comment="PBE CoHgSbI2, relaxed" formation_energy_uncorrected_ev_per_atom=0.28 e_tot_ev_per_atom=-2.6503 dos_ef_per_ev_cell=5.852 pbc="T T T"
Co 0.0000 0.0000 0.0000
Hg 2.7591 2.7591 2.4151
Sb 0.0000 0.0000 2.4151
I 0.0000 2.7591 0.0000
I 2.7591 0.0000 0.0000


14.
4
Lattice="4.0910 0.0000 0.0000 0.0000 4.0910 0.0000 0.0000 0.0000 4.3336" Properties=species:S:1:pos:R:3 comment="PBE U2TcGe, relaxed" e_tot_ev_per_atom=-9.5942 formation_energy_ev_per_atom=-0.2042 dos_ef_per_ev_cell=6.675 pbc="T T T"
U 0.0000 2.0455 0.0000
U 2.0455 0.0000 0.0000
Tc 0.0000 0.0000 2.1668
Ge 2.0455 2.0455 2.1668


15.
4
Lattice="0.0000 3.6698 3.6698 3.6698 0.0000 3.6698 3.6698 3.6698 0.0000" Properties=species:S:1:pos:R:3 comment="PBE LiLaGdMn, relaxed" e_tot_ev_per_atom=-7.3882 formation_energy_ev_per_atom=0.1348 dos_ef_per_ev_cell=5.318 pbc="T T T"
Li 0.0000 0.0000 0.0000
La 1.8349 1.8349 1.8349
Gd 5.5047 5.5047 5.5047
Mn 3.6698 3.6698 3.6698


16.
40
Lattice="9.7570 0.0000 0.0000 0.0000 8.4605 0.0000 0.0000 0.0000 5.0343" Properties=species:S:1:pos:R:3 comment="PBE Li3CuF6, relaxed" formation_energy_uncorrected_ev_per_atom=-2.34 e_tot_ev_per_atom=-4.4502 pbc="T T T"
Li 1.0204 0.4370 0.0000
Li 1.2075 5.3870 2.5837
Li 1.4524 3.7741 0.0529
Li 3.4261 8.0044 2.5700
Li 3.6710 1.1568 0.0666
Li 3.8581 4.6672 2.5171
Li 5.8989 3.7933 0.0000
Li 6.0860 7.3038 2.5837
Li 6.3309 0.4561 0.0529
Li 8.3046 4.6864 2.5700
Li 8.5495 3.0735 0.0666
Li 8.7366 8.0236 2.5171
Cu 1.2602 2.1984 2.5552
Cu 3.6183 6.4287 0.0380
Cu 6.1387 2.0318 2.5552
Cu 8.4967 6.2621 0.0380
F 0.1337 3.5389 1.6635
F 0.2342 2.1606 4.1851
F 0.2493 0.7900 1.7654
F 2.2227 3.7104 3.2903
F 2.3394 2.2403 0.9694
F 2.4026 0.9274 3.4809
F 2.4759 5.1576 0.9638
F 2.5391 6.4705 3.4866
F 2.6558 7.9407 0.7732
F 4.6292 5.0203 4.2825
F 4.6443 6.3909 1.6679
F 4.7448 7.7691 4.1807
F 5.0122 0.6914 1.6635
F 5.1127 2.0697 4.1851
F 5.1278 3.4402 1.7654
F 7.1012 0.5198 3.2903
F 7.2179 1.9900 0.9694
F 7.2810 3.3029 3.4809
F 7.3544 7.5332 0.9638
F 7.4176 6.2203 3.4866
F 7.5343 4.7501 0.7732
F 9.5077 7.6705 4.2825
F 9.5228 6.2999 1.6679
F 9.6233 4.9217 4.1807


17.
4
Lattice="4.0665 -4.0710 0.0000 4.0665 4.0710 0.0000 0.0000 0.0000 3.4175" Properties=species:S:1:pos:R:3 comment="PBE MgPb2Br, relaxed" formation_energy_uncorrected_ev_per_atom=-0.15 e_tot_ev_per_atom=-2.8169 dos_ef_per_ev_cell=1.874 pbc="T T T"
Mg 0.0000 0.0000 0.0000
Pb 2.0333 2.0355 1.7088
Pb 2.0333 -2.0355 1.7088
Br 4.0665 0.0000 0.0000


18.
5
Lattice="6.2932 0.0000 0.0000 -2.8372 5.6270 0.0000 -0.8838 -3.2768 5.4075" Properties=species:S:1:pos:R:3 comment="PBE PrSn3Pb, relaxed" e_tot_ev_per_atom=-4.0775 formation_energy_ev_per_atom=0.0218 dos_ef_per_ev_cell=3.271 pbc="T T T"
Pr 0.0000 0.0000 0.0000
Sn -0.4419 -1.6384 2.7037
Sn 1.7280 2.8135 0.0000
Sn 1.2861 1.1751 2.7037
Pb -1.8605 1.1751 2.7037


19.
6
Lattice="6.1659 0.0000 0.0000 0.0000 3.5434 0.0000 -0.0079 0.0000 8.6779" Properties=species:S:1:pos:R:3 comment="PBE CeNdHo4, relaxed" e_tot_ev_per_atom=-4.7843 formation_energy_ev_per_atom=0.0511 dos_ef_per_ev_cell=11.257 pbc="T T T"
Ce 0.0000 0.0000 0.0000
Nd 3.0830 1.7717 0.0000
Ho 1.0053 1.7717 5.7927
Ho 2.0315 0.0000 2.9247
Ho 4.1265 0.0000 5.7532
Ho 5.1527 1.7717 2.8852


20.
4
Lattice="0.0000 3.6468 3.6468 3.6468 0.0000 3.6468 3.6468 3.6468 0.0000" Properties=species:S:1:pos:R:3 comment="PBE AcCdAsP, relaxed" e_tot_ev_per_atom=-4.2102 formation_energy_ev_per_atom=-0.4395 dos_ef_per_ev_cell=3.266 pbc="T T T"
Ac 0.0000 0.0000 0.0000
Cd 3.6468 3.6468 3.6468
As 5.4702 5.4702 5.4702
P 1.8234 1.8234 1.8234


21.
4
Lattice="3.5922 0.0000 0.0000 0.0000 3.5922 0.0000 0.0000 0.0000 4.9644" Properties=species:S:1:pos:R:3 comment="PBE Re2TcCl, relaxed" formation_energy_uncorrected_ev_per_atom=1.41 e_tot_ev_per_atom=-7.8712 dos_ef_per_ev_cell=5.879 pbc="T T T"
Re 0.0000 1.7961 0.0000
Re 1.7961 0.0000 0.0000
Tc 0.0000 0.0000 2.4822
Cl 1.7961 1.7961 2.4822


22.
3
Lattice="0.0000 3.4729 3.4729 3.4729 0.0000 3.4729 3.4729 3.4729 0.0000" Properties=species:S:1:pos:R:3 comment="PBE KYRu, relaxed" e_tot_ev_per_atom=-4.7780 formation_energy_ev_per_atom=0.8345 dos_ef_per_ev_cell=2.626 pbc="T T T"
K 0.0000 0.0000 0.0000
Y 3.4729 3.4729 3.4729
Ru 5.2093 5.2093 5.2093


23.
4
Lattice="-1.9126 1.9126 4.0656 1.9126 -1.9126 4.0656 1.9126 1.9126 -4.0656" Properties=species:S:1:pos:R:3 comment="PBE Li2CdCo, relaxed" e_tot_ev_per_atom=-2.8227 formation_energy_ev_per_atom=0.1395 dos_ef_per_ev_cell=3.619 pbc="T T T"
Li 1.9126 0.0000 2.0328
Li 0.0000 1.9126 2.0328
Cd 0.0000 0.0000 0.0000
Co 0.0000 0.0000 4.0656


24.
4
Lattice="0.0000 2.7736 2.7736 2.7736 0.0000 2.7736 2.7736 2.7736 0.0000" Properties=species:S:1:pos:R:3 comment="PBE Tc2NF, relaxed" formation_energy_uncorrected_ev_per_atom=0.65 e_tot_ev_per_atom=-7.0777 dos_ef_per_ev_cell=4.360 pbc="T T T"
Tc 1.3868 1.3868 1.3868
Tc 4.1604 4.1604 4.1604
N 0.0000 0.0000 0.0000
F 2.7736 2.7736 2.7736